Computed, not measured: a relaxed structure of SrTaI2O at the PBE-GGA level of DFT. Values from VASP.

Values from the calculation:
ΔE_f (raw)	-0.9500	eV/atom
distance to the lowest polymorph of the same formula	0.0000	eV/atom
D(E_F)	3.1	states/eV/cell

Geometry as Quantum ESPRESSO input:
```
&SYSTEM
  ibrav = 0, nat = 5, ntyp = 4
/
ATOMIC_SPECIES
Sr 87.62 Sr.upf
Ta 180.95 Ta.upf
I 126.90 I.upf
O 16.00 O.upf
CELL_PARAMETERS angstrom
5.954 0.000 0.000
0.000 5.954 0.000
0.000 0.000 3.934
ATOMIC_POSITIONS crystal
Sr 0.000 0.000 0.000
Ta 0.500 0.500 0.500
I 0.000 0.500 0.500
I 0.500 0.000 0.500
O 0.500 0.500 0.000
```